[1]
Tb2AlGe3: single point on PBEsol structure, SCAN.

DFT formation energy ... -4.33 eV per formula unit
Space-group type ... Pnma
Total magnetization ... 0.00 μB/f.u.

Cell: 6.722 4.160 17.510 Å, 90.00 90.00 90.00°
Sites, in units of the cell vectors:
Tb 0.163 0.250 0.204
Tb 0.169 0.250 0.415
Tb 0.331 0.750 0.915
Tb 0.337 0.750 0.704
Tb 0.663 0.250 0.296
Tb 0.669 0.250 0.085
Tb 0.831 0.750 0.585
Tb 0.837 0.750 0.796
Al 0.047 0.750 0.065
Al 0.453 0.250 0.565
Al 0.547 0.750 0.435
Al 0.953 0.250 0.935
Ge 0.041 0.250 0.671
Ge 0.152 0.250 0.811
Ge 0.250 0.250 0.035
Ge 0.250 0.750 0.535
Ge 0.348 0.750 0.311
Ge 0.459 0.750 0.171
Ge 0.541 0.250 0.829
Ge 0.652 0.250 0.689
Ge 0.750 0.250 0.465
Ge 0.750 0.750 0.965
Ge 0.848 0.750 0.189
Ge 0.959 0.750 0.329

***

[2]
AlTc3Ge: single point on PBEsol structure, SCAN.

DFT formation energy ... 5.33 eV per formula unit
Space-group type ... Pm-3m
Total magnetization ... 2.98 μB/f.u.

Cell: 4.460 4.460 4.460 Å, 90.00 90.00 90.00°
Sites, in units of the cell vectors:
Al 0.000 0.000 0.000
Tc 0.000 0.500 0.500
Tc 0.500 0.000 0.500
Tc 0.500 0.500 0.000
Ge 0.500 0.500 0.500

***

[3]
Al2TcGeTe: single point on PBEsol structure, SCAN.

Space-group type ... P4/mmm
Total magnetization ... 3.72 μB/f.u.
Uncorrected formation energy ... 1.18 eV/atom

Cell: 4.666 4.666 5.375 Å, 90.00 90.00 90.00°
Sites, in units of the cell vectors:
Al 0.000 0.500 0.000
Al 0.500 0.000 0.000
Tc 0.000 0.000 0.500
Ge 0.500 0.500 0.000
Te 0.500 0.500 0.500

***

[4]
Al2GeTe: single point on PBEsol structure, SCAN.

Space-group type ... I-42d
Total magnetization ... 0.00 μB/f.u.
Uncorrected formation energy ... -0.24 eV/atom

Cell: 5.964 5.964 11.942 Å, 90.00 90.00 90.00°
Sites, in units of the cell vectors:
Al 0.208 0.250 0.125
Al 0.250 0.708 0.375
Al 0.250 0.792 0.875
Al 0.292 0.250 0.625
Al 0.708 0.750 0.625
Al 0.750 0.208 0.875
Al 0.750 0.292 0.375
Al 0.792 0.750 0.125
Ge 0.000 0.000 0.000
Ge 0.000 0.500 0.250
Ge 0.500 0.000 0.750
Ge 0.500 0.500 0.500
Te 0.000 0.000 0.500
Te 0.000 0.500 0.750
Te 0.500 0.000 0.250
Te 0.500 0.500 0.000

***

[5]
Ti2AlGe3: single point on PBEsol structure, SCAN.

DFT formation energy ... -3.17 eV per formula unit
Space-group type ... Amm2
Total magnetization ... 0.00 μB/f.u.

Cell: 3.662 3.653 13.902 Å, 90.00 90.00 90.00°
Sites, in units of the cell vectors:
Ti 0.000 0.000 0.000
Ti 0.000 0.500 0.500
Ti 0.500 0.000 0.197
Ti 0.500 0.500 0.697
Al 0.000 0.000 0.347
Al 0.000 0.500 0.847
Ge 0.000 0.000 0.666
Ge 0.000 0.500 0.166
Ge 0.500 0.000 0.531
Ge 0.500 0.000 0.850
Ge 0.500 0.500 0.031
Ge 0.500 0.500 0.350

***

[6]
Ti4AlGe7: single point on PBEsol structure, SCAN.

DFT formation energy ... -6.12 eV per formula unit
Space-group type ... I-4m2
Total magnetization ... 0.00 μB/f.u.

Cell: 14.242 14.242 14.242 Å, 165.27 165.27 20.89°
Sites, in units of the cell vectors:
Ti 0.175 0.175 0.000
Ti 0.573 0.073 0.500
Ti 0.825 0.825 0.000
Ti 0.927 0.427 0.500
Al 0.750 0.250 0.500
Ge 0.000 0.000 0.000
Ge 0.095 0.595 0.500
Ge 0.250 0.750 0.500
Ge 0.340 0.340 0.000
Ge 0.405 0.905 0.500
Ge 0.500 0.500 0.000
Ge 0.660 0.660 0.000

***

[7]
AlTlGe3: single point on PBEsol structure, SCAN.

DFT formation energy ... 2.76 eV per formula unit
Space-group type ... Pm-3m
Total magnetization ... 0.00 μB/f.u.

Cell: 4.893 4.893 4.893 Å, 90.00 90.00 90.00°
Sites, in units of the cell vectors:
Al 0.000 0.000 0.000
Tl 0.500 0.500 0.500
Ge 0.000 0.000 0.500
Ge 0.000 0.500 0.000
Ge 0.500 0.000 0.000

***

[8]
TmAlGe: single point on PBEsol structure, SCAN.

DFT formation energy ... -2.07 eV per formula unit
Space-group type ... Cmcm
Total magnetization ... 0.01 μB/f.u.

Cell: 4.001 10.147 5.648 Å, 90.00 90.00 90.00°
Sites, in units of the cell vectors:
Tm 0.000 0.191 0.250
Tm 0.000 0.809 0.750
Tm 0.500 0.309 0.750
Tm 0.500 0.691 0.250
Al 0.000 0.500 0.000
Al 0.000 0.500 0.500
Al 0.500 0.000 0.000
Al 0.500 0.000 0.500
Ge 0.000 0.108 0.750
Ge 0.000 0.892 0.250
Ge 0.500 0.392 0.250
Ge 0.500 0.608 0.750

***

[9]
TmAl2Ge2: single point on PBEsol structure, SCAN.

DFT formation energy ... -2.13 eV per formula unit
Space-group type ... P-3m1
Total magnetization ... 0.00 μB/f.u.

Cell: 4.220 4.220 6.431 Å, 90.00 90.00 120.00°
Sites, in units of the cell vectors:
Tm 0.000 0.000 0.000
Al 0.333 0.667 0.648
Al 0.667 0.333 0.352
Ge 0.333 0.667 0.252
Ge 0.667 0.333 0.748

***

[10]
Tm2AlGe3: single point on PBEsol structure, SCAN.

DFT formation energy ... -4.04 eV per formula unit
Space-group type ... Pnma
Total magnetization ... 0.00 μB/f.u.

Cell: 6.686 4.078 17.277 Å, 90.00 90.00 90.00°
Sites, in units of the cell vectors:
Tm 0.158 0.250 0.205
Tm 0.168 0.250 0.415
Tm 0.332 0.750 0.915
Tm 0.342 0.750 0.705
Tm 0.658 0.250 0.295
Tm 0.668 0.250 0.085
Tm 0.832 0.750 0.585
Tm 0.842 0.750 0.795
Al 0.046 0.750 0.065
Al 0.454 0.250 0.565
Al 0.546 0.750 0.435
Al 0.954 0.250 0.935
Ge 0.048 0.250 0.668
Ge 0.155 0.250 0.810
Ge 0.244 0.750 0.535
Ge 0.256 0.250 0.035
Ge 0.345 0.750 0.310
Ge 0.452 0.750 0.168
Ge 0.548 0.250 0.832
Ge 0.655 0.250 0.690
Ge 0.744 0.750 0.965
Ge 0.756 0.250 0.465
Ge 0.845 0.750 0.190
Ge 0.952 0.750 0.332

***

[11]
AlV6Ge: single point on PBEsol structure, SCAN.

DFT formation energy ... -2.30 eV per formula unit
Space-group type ... Pm-3
Total magnetization ... 2.39 μB/f.u.

Cell: 4.719 4.719 4.719 Å, 90.00 90.00 90.00°
Sites, in units of the cell vectors:
Al 0.000 0.000 0.000
V 0.000 0.252 0.500
V 0.000 0.748 0.500
V 0.252 0.500 0.000
V 0.500 0.000 0.252
V 0.500 0.000 0.748
V 0.748 0.500 0.000
Ge 0.500 0.500 0.500

***

[12]
Al3GeW: single point on PBEsol structure, SCAN.

DFT formation energy ... 4.41 eV per formula unit
Space-group type ... Pm-3m
Total magnetization ... 0.00 μB/f.u.

Cell: 4.825 4.825 4.825 Å, 90.00 90.00 90.00°
Sites, in units of the cell vectors:
Al 0.000 0.000 0.500
Al 0.000 0.500 0.000
Al 0.500 0.000 0.000
Ge 0.500 0.500 0.500
W 0.000 0.000 0.000

***

[13]
Al4Ge2W3: single point on PBEsol structure, SCAN.

DFT formation energy ... -0.86 eV per formula unit
Space-group type ... C2
Total magnetization ... 0.00 μB/f.u.

Cell: 4.816 4.816 6.681 Å, 90.10 90.10 120.05°
Sites, in units of the cell vectors:
Al 0.000 0.000 0.000
Al 0.467 0.005 0.669
Al 0.667 0.333 0.000
Al 0.995 0.533 0.331
Ge 0.123 0.336 0.670
Ge 0.664 0.877 0.330
W 0.333 0.667 0.000
W 0.334 0.211 0.341
W 0.789 0.666 0.659

***

[14]
Y2AlGe3: single point on PBEsol structure, SCAN.

DFT formation energy ... -4.40 eV per formula unit
Space-group type ... Pnma
Total magnetization ... 0.00 μB/f.u.

Cell: 6.735 4.146 17.484 Å, 90.00 90.00 90.00°
Sites, in units of the cell vectors:
Y 0.161 0.250 0.204
Y 0.167 0.250 0.415
Y 0.333 0.750 0.915
Y 0.339 0.750 0.704
Y 0.661 0.250 0.296
Y 0.667 0.250 0.085
Y 0.833 0.750 0.585
Y 0.839 0.750 0.796
Al 0.046 0.750 0.065
Al 0.454 0.250 0.565
Al 0.546 0.750 0.435
Al 0.954 0.250 0.935
Ge 0.043 0.250 0.671
Ge 0.153 0.250 0.811
Ge 0.250 0.250 0.035
Ge 0.250 0.750 0.535
Ge 0.347 0.750 0.311
Ge 0.457 0.750 0.171
Ge 0.543 0.250 0.829
Ge 0.653 0.250 0.689
Ge 0.750 0.250 0.465
Ge 0.750 0.750 0.965
Ge 0.847 0.750 0.189
Ge 0.957 0.750 0.329

***

[15]
YAlGe3: single point on PBEsol structure, SCAN.

DFT formation energy ... 0.72 eV per formula unit
Space-group type ... Pm-3m
Total magnetization ... 0.00 μB/f.u.

Cell: 4.809 4.809 4.809 Å, 90.00 90.00 90.00°
Sites, in units of the cell vectors:
Y 0.000 0.000 0.000
Al 0.500 0.500 0.500
Ge 0.000 0.500 0.500
Ge 0.500 0.000 0.500
Ge 0.500 0.500 0.000

***

[16]
YAlGe: single point on PBEsol structure, SCAN.

DFT formation energy ... -2.21 eV per formula unit
Space-group type ... Cmcm
Total magnetization ... 0.01 μB/f.u.

Cell: 4.025 10.313 5.718 Å, 90.00 90.00 90.00°
Sites, in units of the cell vectors:
Y 0.000 0.191 0.250
Y 0.000 0.809 0.750
Y 0.500 0.309 0.750
Y 0.500 0.691 0.250
Al 0.000 0.500 0.000
Al 0.000 0.500 0.500
Al 0.500 0.000 0.000
Al 0.500 0.000 0.500
Ge 0.000 0.105 0.750
Ge 0.000 0.895 0.250
Ge 0.500 0.395 0.250
Ge 0.500 0.605 0.750

***

[17]
YAl2Ge2: single point on PBEsol structure, SCAN.

DFT formation energy ... -2.38 eV per formula unit
Space-group type ... P-3m1
Total magnetization ... 0.00 μB/f.u.

Cell: 4.231 4.231 6.544 Å, 90.00 90.00 120.00°
Sites, in units of the cell vectors:
Y 0.000 0.000 0.000
Al 0.333 0.667 0.646
Al 0.667 0.333 0.354
Ge 0.333 0.667 0.256
Ge 0.667 0.333 0.744

***

[18]
AlZnGe3: single point on PBEsol structure, SCAN.

DFT formation energy ... 3.86 eV per formula unit
Space-group type ... Pm-3m
Total magnetization ... 0.00 μB/f.u.

Cell: 4.811 4.811 4.811 Å, 90.00 90.00 90.00°
Sites, in units of the cell vectors:
Al 0.000 0.000 0.000
Zn 0.500 0.500 0.500
Ge 0.000 0.000 0.500
Ge 0.000 0.500 0.000
Ge 0.500 0.000 0.000

***

[19]
ZrAlGe3: single point on PBEsol structure, SCAN.

DFT formation energy ... 3.20 eV per formula unit
Space-group type ... Pm-3m
Total magnetization ... 0.00 μB/f.u.

Cell: 5.113 5.113 5.113 Å, 90.00 90.00 90.00°
Sites, in units of the cell vectors:
Zr 0.000 0.000 0.000
Al 0.500 0.500 0.500
Ge 0.000 0.000 0.500
Ge 0.000 0.500 0.000
Ge 0.500 0.000 0.000

***

[20]
AlH3: single point on PBEsol structure, SCAN.

Space-group type ... Cmcm
Total magnetization ... 0.00 μB/f.u.

Cell: 6.231 6.231 6.374 Å, 90.00 90.00 118.34°
Sites, in units of the cell vectors:
Al 0.000 0.000 0.000
Al 0.000 0.000 0.500
Al 0.000 0.500 0.000
Al 0.000 0.500 0.500
Al 0.500 0.000 0.000
Al 0.500 0.000 0.500
H 0.062 0.938 0.750
H 0.097 0.296 0.572
H 0.097 0.296 0.928
H 0.108 0.508 0.250
H 0.284 0.716 0.576
H 0.284 0.716 0.924
H 0.296 0.097 0.072
H 0.296 0.097 0.428
H 0.492 0.892 0.250
H 0.508 0.108 0.750
H 0.704 0.903 0.572
H 0.704 0.903 0.928
H 0.716 0.284 0.076
H 0.716 0.284 0.424
H 0.892 0.492 0.750
H 0.903 0.704 0.072
H 0.903 0.704 0.428
H 0.938 0.062 0.250

***

[21]
AlH3: single point on PBEsol structure, SCAN.

Space-group type ... Fd-3m
Total magnetization ... 0.00 μB/f.u.

Cell: 6.286 6.286 6.286 Å, 60.00 60.00 60.00°
Sites, in units of the cell vectors:
Al 0.000 0.000 0.000
Al 0.000 0.000 0.500
Al 0.000 0.500 0.000
Al 0.500 0.000 0.000
H 0.075 0.075 0.675
H 0.075 0.675 0.075
H 0.075 0.675 0.675
H 0.325 0.325 0.925
H 0.325 0.925 0.325
H 0.325 0.925 0.925
H 0.675 0.075 0.075
H 0.675 0.075 0.675
H 0.675 0.675 0.075
H 0.925 0.325 0.325
H 0.925 0.325 0.925
H 0.925 0.925 0.325

***

[22]
AlH3: single point on PBEsol structure, SCAN.

Space-group type ... R-3c
Total magnetization ... 0.00 μB/f.u.

Cell: 4.596 4.596 4.596 Å, 54.95 54.95 54.95°
Sites, in units of the cell vectors:
Al 0.000 0.000 0.000
Al 0.500 0.500 0.500
H 0.082 0.750 0.418
H 0.250 0.582 0.918
H 0.418 0.082 0.750
H 0.582 0.918 0.250
H 0.750 0.418 0.082
H 0.918 0.250 0.582

***

Number 1: density 7.6 Mg/m³, calculated total energy -27.145 eV/atom. Number 2: density 7.4 Mg/m³, calculated total energy -25.339 eV/atom. Number 3: density 5.0 Mg/m³, calculated total energy -20.204 eV/atom. Number 4: density 4.0 Mg/m³, calculated total energy -18.197 eV/atom. Number 5: density 6.1 Mg/m³, calculated total energy -16.708 eV/atom. Number 6: density 6.5 Mg/m³, calculated total energy -17.634 eV/atom. Number 7: density 6.4 Mg/m³, calculated total energy -26.923 eV/atom. Number 8: density 7.8 Mg/m³, calculated total energy -26.915 eV/atom. Number 9: density 6.2 Mg/m³, calculated total energy -21.529 eV/atom. Number 10: density 8.2 Mg/m³, calculated total energy -28.786 eV/atom. Number 11: density 6.4 Mg/m³, calculated total energy -16.759 eV/atom. Number 12: density 5.0 Mg/m³, calculated total energy -21.524 eV/atom. Number 13: density 10.0 Mg/m³, calculated total energy -31.011 eV/atom. Number 14: density 5.8 Mg/m³, calculated total energy -20.851 eV/atom. Number 15: density 5.0 Mg/m³, calculated total energy -18.427 eV/atom. Number 16: density 5.3 Mg/m³, calculated total energy -18.965 eV/atom. Number 17: density 4.7 Mg/m³, calculated total energy -16.781 eV/atom. Number 18: density 4.6 Mg/m³, calculated total energy -14.933 eV/atom. Number 19: density 4.2 Mg/m³, calculated total energy -18.502 eV/atom. Number 20: density 1.4 Mg/m³, calculated total energy -4.601 eV/atom. Number 21: density 1.1 Mg/m³, calculated total energy -4.599 eV/atom. Number 22: density 1.6 Mg/m³, calculated total energy -4.601 eV/atom.